# 1
5
Lattice="5.059 0.000 0.000 0.000 5.059 0.000 0.000 0.000 4.539" Properties=species:S:1:pos:R:3 comment="La2InAgH GGA-PBE relaxed" e_tot_ev_per_cell=-20.76 magmom_total_mub_per_atom=0.000 relative_energy_mev_per_atom=0.0 pbc="T T T"
La 0.000 2.529 0.000
La 2.529 0.000 0.000
In 0.000 0.000 2.270
Ag 2.529 2.529 2.270
H 2.529 2.529 0.000


# 2
5
Lattice="4.772 0.000 0.000 0.000 4.772 0.000 0.000 0.000 5.660" Properties=species:S:1:pos:R:3 comment="RbGaCo2Ag GGA-PBE relaxed" e_tot_ev_per_cell=-10.32 magmom_total_mub_per_atom=0.604 formation_enthalpy_0k_kj_per_mol_atoms=207.2 pbc="T T T"
Rb 0.000 0.000 0.000
Ga 0.000 0.000 2.830
Co 0.000 2.386 0.000
Co 2.386 0.000 0.000
Ag 2.386 2.386 2.830


# 3
5
Lattice="4.610 0.000 0.000 0.000 4.610 0.000 0.000 0.000 4.973" Properties=species:S:1:pos:R:3 comment="RbSrLiB2 GGA-PBE relaxed" e_tot_ev_per_cell=-11.01 magmom_total_mub_per_atom=0.079 formation_enthalpy_0k_kj_per_mol_atoms=133.3 pbc="T T T"
Rb 0.000 0.000 0.000
Sr 2.305 2.305 0.000
Li 2.305 2.305 2.487
B 0.000 2.305 2.487
B 2.305 0.000 2.487


# 4
8
Lattice="4.488 0.000 0.000 0.000 4.488 0.000 0.000 0.000 9.748" Properties=species:S:1:pos:R:3 comment="Y2MnIn GGA-PBE relaxed" e_tot_ev_per_cell=-49.90 magmom_total_mub_per_atom=0.643 formation_enthalpy_0k_kj_per_mol_atoms=-2.7 pbc="T T T"
Y 0.000 0.000 0.000
Y 0.000 2.244 2.437
Y 2.244 0.000 7.311
Y 2.244 2.244 4.874
Mn 0.000 0.000 4.874
Mn 2.244 2.244 0.000
In 0.000 2.244 7.311
In 2.244 0.000 2.437